GGA-PBE NaBe2As2O7, relaxed; total energy = -5.9306 eV/atom
1.0
5.0510 0.0000 0.0000
2.5255 4.3743 0.0000
2.5255 1.4581 7.5659
As O Be Na
2 7 2 1
Direct
0.2592 0.2592 0.2225
0.7408 0.7408 0.7775
0.9432 0.5801 0.2946
0.0000 0.0000 0.0000
0.4199 0.0568 0.7054
0.0568 0.8179 0.7054
0.5801 0.1821 0.2946
0.8179 0.4199 0.7054
0.1821 0.9432 0.2946
0.9327 0.9327 0.2019
0.0673 0.0673 0.7981
0.5000 0.5000 0.5000